(1)
CeCuTeO, optimized geometry, DFT GGA-PBE; N(E_F) = 1.93 states/eV per atom; space group = P4/nmm (129); energy relative to the elements, uncorrected = -40.90 kcal/mol of atoms; spin magnetization = 2.00 μB/cell
1.0
4.0924 0.0000 0.0000
0.0000 4.0924 0.0000
0.0000 0.0000 9.4244
Cu Ce Te O
2 2 2 2
Direct
0.7500 0.2500 0.5000
0.2500 0.7500 0.5000
0.2500 0.2500 0.1264
0.7500 0.7500 0.8736
0.7500 0.7500 0.3192
0.2500 0.2500 0.6808
0.7500 0.2500 0.0000
0.2500 0.7500 0.0000

(2)
HfTiNbTl, optimized geometry, DFT GGA-PBE; N(E_F) = 0.65 states/eV per atom; formation enthalpy at 0 K = 0.11 eV per atom; space group = F-43m (216); spin magnetization = 0.00 μB/cell
1.0
-2.1227 -4.0382 1.5296
-2.2315 -2.8831 -3.1401
1.8973 -4.2819 -1.1034
Ti Nb Tl Hf
1 1 1 1
Direct
0.2500 0.2500 0.2500
0.5000 0.5000 0.5000
0.0000 0.0000 0.0000
0.7500 0.7500 0.7500

(3)
Ti2TeP, optimized geometry, DFT GGA-PBE; N(E_F) = 0.55 states/eV per atom; space group = R-3m (166); offset from the most stable computed form = 0.000 eV/atom; energy relative to the elements, uncorrected = -21.09 kcal/mol of atoms; spin magnetization = 0.00 μB/cell
1.0
-2.3786 0.3256 -2.8169
-1.9243 -2.9462 -1.1472
-6.0640 0.5634 2.7540
Ti P Te
2 1 1
Direct
0.2724 0.2724 0.1829
0.7276 0.7276 0.8171
0.0000 0.0000 0.0000
0.5000 0.5000 0.5000

(4)
PAuSeN2, optimized geometry, DFT GGA-PBE; N(E_F) = 0.69 states/eV per atom; space group = P4/mmm (123); offset from the most stable computed form = 0.932 eV/atom; energy relative to the elements, uncorrected = 42.53 kcal/mol of atoms; spin magnetization = 3.78 μB/cell
1.0
-2.9649 -0.9059 2.3193
-1.6118 -2.0507 -2.8614
4.0622 -6.7564 2.5540
Au N P Se
1 2 1 1
Direct
0.0000 0.0000 0.0000
0.5000 0.0000 0.0000
0.0000 0.5000 0.0000
0.5000 0.5000 0.5000
0.0000 0.0000 0.5000